Record 1
Crystalline ZrAs2BrN at its relaxed geometry, computed with PBE.

Polymorph energy (0 for the lowest one)   2.23 eV per formula unit
Electronic total energy   -4.618 eV/atom
Fermi-level density of states   4.33 states/eV per cell
Formation energy (no corrections)   0.95 eV/atom

abc: 5.247 5.247 5.409
angles: 90.00 90.00 90.00
Space group P4/mmm (No. 123)
Inequivalent atoms, fractional coordinates:
Zr 0.000 0.000 0.000 [1 per cell]
As 0.000 0.500 0.000 [2 per cell]
Br 0.000 0.000 0.500 [1 per cell]
N 0.500 0.500 0.500 [1 per cell]

***

Record 2
Crystalline Ce3Zn5S12 at its relaxed geometry, computed with PBE.

Electronic total energy   -4.695 eV/atom
Fermi-level density of states   113.13 states/eV per cell
Formation energy (no corrections)   -1.01 eV/atom

abc: 15.080 15.080 15.080
angles: 90.00 90.00 90.00
Space group Ia-3d (No. 230)
Inequivalent atoms, fractional coordinates:
Ce 0.000 0.250 0.125 [24 per cell]
Zn 0.000 0.000 0.000 [16 per cell]
Zn 0.000 0.250 0.375 [24 per cell]
S 0.025 0.063 0.651 [96 per cell]

***

Record 3
Crystalline AlTlBr4 at its relaxed geometry, computed with PBE.

Polymorph energy (0 for the lowest one)   7.46 eV per formula unit
Electronic total energy   -1.976 eV/atom
Fermi-level density of states   11.16 states/eV per cell
Formation energy (no corrections)   0.16 eV/atom

abc: 9.289 9.289 9.289
angles: 90.00 90.00 90.00
Space group F-43m (No. 216)
Inequivalent atoms, fractional coordinates:
Al 0.000 0.000 0.000 [4 per cell]
Tl 0.250 0.250 0.250 [4 per cell]
Br 0.125 0.125 0.625 [16 per cell]

***

Record 4
Crystalline KTcAs2 at its relaxed geometry, computed with PBE.

Polymorph energy (0 for the lowest one)   3.60 eV per formula unit
Electronic total energy   -4.540 eV/atom
Fermi-level density of states   5.39 states/eV per cell
ΔE_f   2.601 eV per formula unit

abc: 6.689 8.308 2.943
angles: 90.00 90.00 90.00
Space group Cmmm (No. 65)
Inequivalent atoms, fractional coordinates:
K 0.000 0.000 0.000 [2 per cell]
Tc 0.000 0.500 0.000 [2 per cell]
As 0.250 0.250 0.500 [4 per cell]

***

Record 5
Crystalline Rb2In2Sb at its relaxed geometry, computed with PBE.

Electronic total energy   -2.440 eV/atom
Fermi-level density of states   6.50 states/eV per cell
Formation energy (no corrections)   -0.13 eV/atom

abc: 8.009 8.009 6.112
angles: 90.00 90.00 90.00
Space group P4/mbm (No. 127)
Inequivalent atoms, fractional coordinates:
Rb 0.187 0.313 0.000 [4 per cell]
In 0.129 0.629 0.500 [4 per cell]
Sb 0.000 0.000 0.500 [2 per cell]

***

Record 6
Crystalline ScAg2AuO4 at its relaxed geometry, computed with PBE.

Electronic total energy   -5.374 eV/atom
Formation energy (no corrections)   -0.98 eV/atom

abc: 6.009 6.009 6.328
angles: 90.00 90.00 90.00
Space group I-4 (No. 82)
Inequivalent atoms, fractional coordinates:
Sc 0.000 0.000 0.000 [2 per cell]
Ag 0.000 0.000 0.500 [2 per cell]
Ag 0.000 0.500 0.750 [2 per cell]
Au 0.000 0.500 0.250 [2 per cell]
O 0.161 0.800 0.211 [8 per cell]

***

Record 7
Crystalline Ca2CoAg at its relaxed geometry, computed with PBE.

Polymorph energy (0 for the lowest one)   1.08 eV per formula unit
Electronic total energy   -3.161 eV/atom
Fermi-level density of states   34.65 states/eV per cell
ΔE_f   1.315 eV per formula unit

abc: 7.037 7.037 7.037
angles: 90.00 90.00 90.00
Space group F-43m (No. 216)
Inequivalent atoms, fractional coordinates:
Ca 0.000 0.000 0.000 [4 per cell]
Ca 0.250 0.250 0.250 [4 per cell]
Co 0.000 0.000 0.500 [4 per cell]
Ag 0.250 0.250 0.750 [4 per cell]

***

Record 8
Crystalline Ho6In2Cu at its relaxed geometry, computed with PBE.

Electronic total energy   -4.363 eV/atom
Fermi-level density of states   19.45 states/eV per cell
ΔE_f   -2.230 eV per formula unit

abc: 9.851 9.851 4.996
angles: 90.00 90.00 90.00
Space group P4_2/mnm (No. 136)
Inequivalent atoms, fractional coordinates:
Ho 0.027 0.313 0.000 [8 per cell]
Ho 0.119 0.881 0.500 [4 per cell]
In 0.205 0.205 0.500 [4 per cell]
Cu 0.000 0.000 0.000 [2 per cell]

***

Record 9
Crystalline SmZrTl at its relaxed geometry, computed with PBE.

Polymorph energy (0 for the lowest one)   1.54 eV per formula unit
Electronic total energy   -4.731 eV/atom
Fermi-level density of states   8.54 states/eV per cell
ΔE_f   1.442 eV per formula unit

abc: 3.159 3.159 17.248
angles: 90.00 90.00 90.00
Space group I4mm (No. 107)
Inequivalent atoms, fractional coordinates:
Sm 0.000 0.000 0.000 [2 per cell]
Zr 0.000 0.000 0.817 [2 per cell]
Tl 0.000 0.000 0.183 [2 per cell]

***

Record 10
Crystalline Ni2AsRh at its relaxed geometry, computed with PBE.

Electronic total energy   -5.897 eV/atom
Fermi-level density of states   4.71 states/eV per cell
ΔE_f   -0.025 eV per formula unit

abc: 3.095 3.095 5.405
angles: 90.00 90.00 90.00
Space group P4/mmm (No. 123)
Inequivalent atoms, fractional coordinates:
Ni 0.000 0.000 0.237 [2 per cell]
As 0.500 0.500 0.000 [1 per cell]
Rh 0.500 0.500 0.500 [1 per cell]

***

Record 11
Crystalline Li2LaZnB at its relaxed geometry, computed with PBE.

Electronic total energy   -2.546 eV/atom
Fermi-level density of states   4.56 states/eV per cell
ΔE_f   3.978 eV per formula unit

abc: 4.493 4.493 5.904
angles: 90.00 90.00 90.00
Space group P4/mmm (No. 123)
Inequivalent atoms, fractional coordinates:
Li 0.000 0.500 0.000 [2 per cell]
La 0.000 0.000 0.500 [1 per cell]
Zn 0.000 0.000 0.000 [1 per cell]
B 0.500 0.500 0.500 [1 per cell]

***

Record 12
Crystalline VSeBr2Cl at its relaxed geometry, computed with PBE.

Polymorph energy (0 for the lowest one)   0.00 eV per formula unit
Electronic total energy   -3.708 eV/atom
Fermi-level density of states   5.60 states/eV per cell
Formation energy (no corrections)   -0.15 eV/atom

abc: 4.957 4.957 4.822
angles: 90.00 90.00 90.00
Space group P4/mmm (No. 123)
Inequivalent atoms, fractional coordinates:
V 0.000 0.000 0.000 [1 per cell]
Se 0.000 0.000 0.500 [1 per cell]
Br 0.000 0.500 0.000 [2 per cell]
Cl 0.500 0.500 0.500 [1 per cell]

***

Record 13
Crystalline Ca12As3C5 at its relaxed geometry, computed with PBE.

Electronic total energy   -4.235 eV/atom
Fermi-level density of states   124.67 states/eV per cell
ΔE_f   -0.610 eV per formula unit

abc: 15.957 15.957 15.957
angles: 90.00 90.00 90.00
Space group Ia-3d (No. 230)
Inequivalent atoms, fractional coordinates:
Ca 0.029 0.054 0.648 [96 per cell]
As 0.000 0.250 0.125 [24 per cell]
C 0.000 0.000 0.000 [16 per cell]
C 0.000 0.250 0.375 [24 per cell]

***

Record 14
Crystalline Rb3AcEr2Te6 at its relaxed geometry, computed with PBE.

Electronic total energy   -4.315 eV/atom
Fermi-level density of states   0.00 states/eV per cell
Formation energy (no corrections)   -1.40 eV/atom

abc: 8.015 13.888 8.980
angles: 90.00 107.41 90.00
Space group C2/m (No. 12)
Inequivalent atoms, fractional coordinates:
Rb 0.000 0.000 0.000 [2 per cell]
Rb 0.000 0.338 0.000 [4 per cell]
Ac 0.000 0.500 0.500 [2 per cell]
Er 0.000 0.167 0.500 [4 per cell]
Te 0.214 0.000 0.701 [4 per cell]
Te 0.245 0.323 0.702 [8 per cell]

***

Record 15
Crystalline YTm2Pb at its relaxed geometry, computed with PBE.

Polymorph energy (0 for the lowest one)   1.48 eV per formula unit
Electronic total energy   -4.717 eV/atom
Fermi-level density of states   13.85 states/eV per cell
ΔE_f   0.246 eV per formula unit

abc: 3.5141 3.5141 35.7301
angles: 90.00 90.00 120.00
Space group R-3m (No. 166, hexagonal axes)
Inequivalent atoms, fractional coordinates:
Y 0.0000 0.0000 0.0000 [3 per cell]
Tm 0.0000 0.0000 0.4121 [6 per cell]
Pb 0.0000 0.0000 0.5000 [3 per cell]

***

Record 16
Crystalline Ca2ScAuN at its relaxed geometry, computed with PBE.

Polymorph energy (0 for the lowest one)   11.48 eV per formula unit
Electronic total energy   -2.946 eV/atom
Fermi-level density of states   6.81 states/eV per cell
Formation energy (no corrections)   1.44 eV/atom

abc: 5.959 5.959 4.841
angles: 90.00 90.00 90.00
Space group P4/mmm (No. 123)
Inequivalent atoms, fractional coordinates:
Ca 0.000 0.500 0.000 [2 per cell]
Sc 0.000 0.000 0.000 [1 per cell]
Au 0.000 0.000 0.500 [1 per cell]
N 0.500 0.500 0.500 [1 per cell]

***

Record 17
Crystalline ZrMnTe3 at its relaxed geometry, computed with PBE.

Polymorph energy (0 for the lowest one)   4.90 eV per formula unit
Electronic total energy   -4.961 eV/atom
Fermi-level density of states   9.75 states/eV per cell
Formation energy (no corrections)   0.47 eV/atom

abc: 5.005 5.005 5.005
angles: 90.00 90.00 90.00
Space group Pm-3m (No. 221)
Inequivalent atoms, fractional coordinates:
Zr 0.000 0.000 0.000 [1 per cell]
Mn 0.500 0.500 0.500 [1 per cell]
Te 0.000 0.500 0.500 [3 per cell]

***

Record 18
Crystalline Zn3TeP at its relaxed geometry, computed with PBE.

Polymorph energy (0 for the lowest one)   4.11 eV per formula unit
Electronic total energy   -1.609 eV/atom
Fermi-level density of states   3.18 states/eV per cell
Formation energy (no corrections)   0.87 eV/atom

abc: 5.168 5.168 5.168
angles: 90.00 90.00 90.00
Space group Pm-3m (No. 221)
Inequivalent atoms, fractional coordinates:
Zn 0.000 0.000 0.500 [3 per cell]
Te 0.000 0.000 0.000 [1 per cell]
P 0.500 0.500 0.500 [1 per cell]